This record from Alexandria describes a geometry-optimized LaFeAgC structure. The functional is PBE.

For the energy of formation from the pure elements, the calculation gives -0.33 eV/f.u. The calculation puts the magnetization at 0.00 μB/f.u. The density of states at the Fermi level is 0.64 states/eV per atom. Its final energy is -51.59 eV for the cell shown.

The structure belongs to space group P4/nmm (No. 129, origin choice 2); the cell edges are 3.641, 3.641 and 10.393 Å and the angles 90.00°, 90.00° and 90.00°. The asymmetric unit holds La at (0.250, 0.250, 0.224), Fe at (0.250, 0.750, 0.000), Ag at (0.250, 0.750, 0.500) and C at (0.250, 0.250, 0.920).

---

This record from Alexandria describes a geometry-optimized YSb2Os structure. The functional is PBE.

The calculation puts the magnetization at 0.00 μB/f.u. The value obtained for the formation energy from raw total energies is 200.0 meV/atom. The density of states at the Fermi level is 0.90 states/eV per atom. Its energy above the lowest structure with this stoichiometry is 0.508 eV per atom. Its final energy is -100.55 eV for the cell shown.

The structure belongs to space group F-43m (No. 216); the cell edges are 7.103, 7.103 and 7.103 Å and the angles 90.00°, 90.00° and 90.00°. The asymmetric unit holds Y at (0.000, 0.000, 0.000), Sb at (0.000, 0.000, 0.500), Sb at (0.250, 0.250, 0.250) and Os at (0.250, 0.250, 0.750).

---

This record from Alexandria describes a geometry-optimized Si2TcPb structure. The functional is PBE.

The calculation puts the magnetization at 0.00 μB/f.u. The value obtained for the formation energy from raw total energies is 394.4 meV/atom. The density of states at the Fermi level is 0.55 states/eV per atom. Its final energy is -70.03 eV for the cell shown.

The structure belongs to space group R3m (No. 160, hexagonal axes); the cell edges are 3.2505, 3.2505 and 23.9811 Å and the angles 90.00°, 90.00° and 120.00°. The asymmetric unit holds Si at (0.0000, 0.0000, 0.0000), Si at (0.0000, 0.0000, 0.2624), Tc at (0.0000, 0.0000, 0.7320) and Pb at (0.0000, 0.0000, 0.4932).

---

This record from Alexandria describes a geometry-optimized InAuS2 structure. The functional is PBE.

The calculation puts the magnetization at 0.00 μB/f.u. The value obtained for the formation energy from raw total energies is -259.3 meV/atom. The density of states at the Fermi level is 0.24 states/eV per atom. Its final energy is -45.92 eV for the cell shown.

The structure belongs to space group R3m (No. 160, hexagonal axes); the cell edges are 4.1787, 4.1787 and 20.7263 Å and the angles 90.00°, 90.00° and 120.00°. The asymmetric unit holds In at (0.0000, 0.0000, 0.0000), Au at (0.0000, 0.0000, 0.4620), S at (0.0000, 0.0000, 0.1204) and S at (0.0000, 0.0000, 0.6206).

---

This record from Alexandria describes a geometry-optimized Ba2LiCuPt2 structure. The functional is PBE.

For the energy of formation from the pure elements, the calculation gives -2.95 eV/f.u. The calculation puts the magnetization at 0.00 μB/f.u. The density of states at the Fermi level is 0.35 states/eV per atom. Its final energy is -99.54 eV for the cell shown.

The structure belongs to space group Ibam (No. 72); the cell edges are 6.357, 14.785 and 6.322 Å and the angles 90.00°, 90.00° and 90.00°. The asymmetric unit holds Ba at (0.245, 0.162, 0.000), Li at (0.000, 0.500, 0.250), Cu at (0.000, 0.000, 0.250) and Pt at (0.247, 0.099, 0.500).

---

This record from Alexandria describes a geometry-optimized CoGe2Pt structure. The functional is PBE.

For the energy of formation from the pure elements, the calculation gives -0.02 eV/f.u. The calculation puts the magnetization at 0.57 μB/f.u. The density of states at the Fermi level is 1.18 states/eV per atom. Its energy above the lowest structure with this stoichiometry is 0.144 eV per atom. Its final energy is -89.61 eV for the cell shown.

The structure belongs to space group Fm-3m (No. 225); the cell edges are 6.143, 6.143 and 6.143 Å and the angles 90.00°, 90.00° and 90.00°. The asymmetric unit holds Co at (0.000, 0.000, 0.000), Ge at (0.250, 0.250, 0.250) and Pt at (0.000, 0.000, 0.500).